No. 1
The following is a GGA-PBE calculation of crystalline TlCdAs at its relaxed geometry, from Alexandria.

Cell: 5.0694 5.0694 3.3689 Å, 90.00 90.00 120.00°
Space group P-6m2 (No. 187)
Inequivalent atoms, fractional coordinates:
Tl (0.0000, 0.0000, 0.0000) (multiplicity 1)
Cd (0.6667, 0.3333, 0.5000) (multiplicity 1)
As (0.3333, 0.6667, 0.5000) (multiplicity 1)

Energy: -0.1850 Ry per atom
Density of states at the Fermi level: 1.27 states/eV/cell



No. 2
The following is a GGA-PBE calculation of crystalline TlCdAs4 at its relaxed geometry, from Alexandria.

Cell: 8.228 8.228 8.228 Å, 90.00 90.00 90.00°
Space group F-43m (No. 216)
Inequivalent atoms, fractional coordinates:
Tl (0.000, 0.000, 0.000) (multiplicity 4)
Cd (0.250, 0.250, 0.250) (multiplicity 4)
As (0.118, 0.118, 0.618) (multiplicity 16)

Energy: -0.2509 Ry per atom
Density of states at the Fermi level: 6.05 states/eV/cell



No. 3
The following is a GGA-PBE calculation of crystalline TlCdAs2 at its relaxed geometry, from Alexandria.

Cell: 3.982 4.947 9.614 Å, 90.00 90.00 90.00°
Space group Cmmm (No. 65)
Inequivalent atoms, fractional coordinates:
Tl (0.000, 0.000, 0.000) (multiplicity 2)
Cd (0.000, 0.000, 0.500) (multiplicity 2)
As (0.000, 0.500, 0.284) (multiplicity 4)

Polymorph energy (0 for the lowest one): 167 meV/atom
Energy: -0.2152 Ry per atom
Density of states at the Fermi level: 2.40 states/eV/cell